No. 1
Below is a crystal of ReTe2Pd relaxed with PBEsol, with properties calculated at the SCAN level.

CIF file:
```
data_ReTe2Pd
_chemical_formula_sum 'Re2 Te4 Pd2'
_cell_length_a 6.0472
_cell_length_b 6.0472
_cell_length_c 7.1410
_cell_angle_alpha 115.05
_cell_angle_beta 115.05
_cell_angle_gamma 90.00
_symmetry_space_group_name_H-M 'P 1'
_symmetry_Int_Tables_number 1
loop_
_symmetry_equiv_pos_as_xyz
'x,y,z'
loop_
_atom_site_label
_atom_site_type_symbol
_atom_site_fract_x
_atom_site_fract_y
_atom_site_fract_z
_atom_site_occupancy
Re1 Re 0.2500 0.7500 0.5000 1
Re2 Re 0.0000 0.0000 0.0000 1
Te1 Te 0.3663 0.8750 0.2500 1
Te2 Te 0.1250 0.1163 0.7500 1
Te3 Te 0.6250 0.6337 0.7500 1
Te4 Te 0.8837 0.3750 0.2500 1
Pd1 Pd 0.7500 0.2500 0.5000 1
Pd2 Pd 0.5000 0.5000 0.0000 1
```

uncorrected formation energy = 0.349 eV per atom
symmetry = I-42d

***

No. 2
Below is a crystal of TaSe relaxed with PBEsol, with properties calculated at the SCAN level.

CIF file:
```
data_TaSe
_chemical_formula_sum 'Ta1 Se1'
_cell_length_a 3.1470
_cell_length_b 3.1470
_cell_length_c 4.3768
_cell_angle_alpha 68.93
_cell_angle_beta 68.93
_cell_angle_gamma 60.00
_symmetry_space_group_name_H-M 'P 1'
_symmetry_Int_Tables_number 1
loop_
_symmetry_equiv_pos_as_xyz
'x,y,z'
loop_
_atom_site_label
_atom_site_type_symbol
_atom_site_fract_x
_atom_site_fract_y
_atom_site_fract_z
_atom_site_occupancy
Ta1 Ta 0.5000 0.5000 0.5000 1
Se1 Se 0.0000 0.0000 0.0000 1
```

uncorrected formation energy = -0.063 eV per atom
symmetry = R-3m

***

No. 3
Below is a crystal of NbFeSi relaxed with PBEsol, with properties calculated at the SCAN level.

CIF file:
```
data_NbFeSi
_chemical_formula_sum 'Nb2 Fe2 Si2'
_cell_length_a 3.5584
_cell_length_b 4.8962
_cell_length_c 4.9020
_cell_angle_alpha 90.00
_cell_angle_beta 90.00
_cell_angle_gamma 111.31
_symmetry_space_group_name_H-M 'P 1'
_symmetry_Int_Tables_number 1
loop_
_symmetry_equiv_pos_as_xyz
'x,y,z'
loop_
_atom_site_label
_atom_site_type_symbol
_atom_site_fract_x
_atom_site_fract_y
_atom_site_fract_z
_atom_site_occupancy
Fe1 Fe 0.0000 0.0000 0.5000 1
Fe2 Fe 0.0000 0.0000 0.0000 1
Si1 Si 0.5829 0.1657 0.2500 1
Si2 Si 0.4171 0.8343 0.7500 1
Nb1 Nb 0.7100 0.4201 0.7500 1
Nb2 Nb 0.2900 0.5799 0.2500 1
```

uncorrected formation energy = -0.530 eV per atom
symmetry = Cmcm

***

No. 4
Below is a crystal of KMoPb2 relaxed with PBEsol, with properties calculated at the SCAN level.

CIF file:
```
data_KMoPb2
_chemical_formula_sum 'K1 Mo1 Pb2'
_cell_length_a 4.3953
_cell_length_b 4.3953
_cell_length_c 5.9546
_cell_angle_alpha 111.66
_cell_angle_beta 111.66
_cell_angle_gamma 90.00
_symmetry_space_group_name_H-M 'P 1'
_symmetry_Int_Tables_number 1
loop_
_symmetry_equiv_pos_as_xyz
'x,y,z'
loop_
_atom_site_label
_atom_site_type_symbol
_atom_site_fract_x
_atom_site_fract_y
_atom_site_fract_z
_atom_site_occupancy
Mo1 Mo 0.2500 0.7500 0.5000 1
Pb1 Pb 0.0000 0.0000 0.0000 1
Pb2 Pb 0.7500 0.2500 0.5000 1
K1 K 0.5000 0.5000 0.0000 1
```

calculated formation energy = 0.813 eV per atom
symmetry = I-4m2
polymorph energy (0 for the lowest one) = 0.056 eV per atom

***

No. 5
Below is a crystal of CaBiSe2 relaxed with PBEsol, with properties calculated at the SCAN level.

CIF file:
```
data_CaBiSe2
_chemical_formula_sum 'Ca2 Bi2 Se4'
_cell_length_a 5.9451
_cell_length_b 5.9451
_cell_length_c 8.8573
_cell_angle_alpha 109.61
_cell_angle_beta 109.61
_cell_angle_gamma 90.00
_symmetry_space_group_name_H-M 'P 1'
_symmetry_Int_Tables_number 1
loop_
_symmetry_equiv_pos_as_xyz
'x,y,z'
loop_
_atom_site_label
_atom_site_type_symbol
_atom_site_fract_x
_atom_site_fract_y
_atom_site_fract_z
_atom_site_occupancy
Ca1 Ca 0.5000 0.5000 0.0000 1
Ca2 Ca 0.7500 0.2500 0.5000 1
Se1 Se 0.8730 0.3750 0.2500 1
Se2 Se 0.1250 0.1270 0.7500 1
Se3 Se 0.3770 0.8750 0.2500 1
Se4 Se 0.6250 0.6230 0.7500 1
Bi1 Bi 0.2500 0.7500 0.5000 1
Bi2 Bi 0.0000 0.0000 0.0000 1
```

uncorrected formation energy = -0.849 eV per atom
symmetry = I-42d

***

No. 6
Below is a crystal of CuRu2W relaxed with PBEsol, with properties calculated at the SCAN level.

CIF file:
```
data_CuRu2W
_chemical_formula_sum 'Cu1 Ru2 W1'
_cell_length_a 4.2503
_cell_length_b 4.2503
_cell_length_c 4.2503
_cell_angle_alpha 60.00
_cell_angle_beta 60.00
_cell_angle_gamma 60.00
_symmetry_space_group_name_H-M 'P 1'
_symmetry_Int_Tables_number 1
loop_
_symmetry_equiv_pos_as_xyz
'x,y,z'
loop_
_atom_site_label
_atom_site_type_symbol
_atom_site_fract_x
_atom_site_fract_y
_atom_site_fract_z
_atom_site_occupancy
Cu1 Cu 0.0000 0.0000 0.0000 1
Ru1 Ru 0.7500 0.7500 0.7500 1
Ru2 Ru 0.2500 0.2500 0.2500 1
W1 W 0.5000 0.5000 0.5000 1
```

calculated formation energy = 0.034 eV per atom
symmetry = Fm-3m
polymorph energy (0 for the lowest one) = 0.000 eV per atom

***

No. 7
Below is a crystal of YSi2 relaxed with PBEsol, with properties calculated at the SCAN level.

CIF file:
```
data_YSi2
_chemical_formula_sum 'Y4 Si8'
_cell_length_a 3.7844
_cell_length_b 3.7844
_cell_length_c 16.4994
_cell_angle_alpha 96.59
_cell_angle_beta 96.59
_cell_angle_gamma 90.00
_symmetry_space_group_name_H-M 'P 1'
_symmetry_Int_Tables_number 1
loop_
_symmetry_equiv_pos_as_xyz
'x,y,z'
loop_
_atom_site_label
_atom_site_type_symbol
_atom_site_fract_x
_atom_site_fract_y
_atom_site_fract_z
_atom_site_occupancy
Y1 Y 0.0700 0.0700 0.1399 1
Y2 Y 0.3200 0.8200 0.6399 1
Y3 Y 0.1800 0.6800 0.3601 1
Y4 Y 0.9300 0.9300 0.8601 1
Si1 Si 0.3964 0.3964 0.7927 1
Si2 Si 0.7492 0.7492 0.4985 1
Si3 Si 0.6464 0.1464 0.2927 1
Si4 Si 0.8536 0.3536 0.7073 1
Si5 Si 0.6036 0.6036 0.2073 1
Si6 Si 0.5008 0.0008 0.0015 1
Si7 Si 0.2508 0.2508 0.5015 1
Si8 Si 0.9992 0.4992 0.9985 1
```

uncorrected formation energy = -0.473 eV per atom
symmetry = I4_1/amd

***

No. 8
Below is a crystal of RbZrBSb2 relaxed with PBEsol, with properties calculated at the SCAN level.

CIF file:
```
data_RbZrBSb2
_chemical_formula_sum 'Rb1 Zr1 B1 Sb2'
_cell_length_a 4.5433
_cell_length_b 5.2431
_cell_length_c 5.2431
_cell_angle_alpha 90.00
_cell_angle_beta 90.00
_cell_angle_gamma 90.00
_symmetry_space_group_name_H-M 'P 1'
_symmetry_Int_Tables_number 1
loop_
_symmetry_equiv_pos_as_xyz
'x,y,z'
loop_
_atom_site_label
_atom_site_type_symbol
_atom_site_fract_x
_atom_site_fract_y
_atom_site_fract_z
_atom_site_occupancy
Rb1 Rb 0.5000 0.5000 0.5000 1
Sb1 Sb 0.0000 0.5000 0.0000 1
Sb2 Sb 0.0000 0.0000 0.5000 1
B1 B 0.0000 0.0000 0.0000 1
Zr1 Zr 0.5000 0.0000 0.0000 1
```

uncorrected formation energy = 0.470 eV per atom
symmetry = P4/mmm